Record 1
CaReAg2: relaxed, PBE-GGA.

a = 2.9337 Å, b = 2.9337 Å, c = 29.9749 Å
α = 90.00°, β = 90.00°, γ = 120.00°
Space group R-3m (No. 166, hexagonal axes)
Inequivalent atoms, fractional coordinates:
Ca 0.0000 0.0000 0.0000 [3 per cell]
Re 0.0000 0.0000 0.5000 [3 per cell]
Ag 0.0000 0.0000 0.2449 [6 per cell]

energy of formation = 0.6903 eV/atom
density of states at the Fermi level = 10.568 states/eV/cell
magnetization = 0.3 μB per cell

---

Record 2
NaScIN2: relaxed, PBE-GGA.

a = 4.261 Å, b = 4.261 Å, c = 6.140 Å
α = 90.00°, β = 90.00°, γ = 90.00°
Space group P4/mmm (No. 123)
Inequivalent atoms, fractional coordinates:
Na 0.000 0.000 0.000 [1 per cell]
Sc 0.500 0.500 0.500 [1 per cell]
I 0.500 0.500 0.000 [1 per cell]
N 0.000 0.500 0.500 [2 per cell]

uncorrected formation energy = 0.150 eV/atom
density of states at the Fermi level = 4.274 states/eV/cell
magnetization = 1.8 μB per cell

---

Record 3
RbGaPb: relaxed, PBE-GGA.

a = 4.601 Å, b = 6.798 Å, c = 8.837 Å
α = 92.30°, β = 104.77°, γ = 109.61°
Space group P1 (No. 1)
Inequivalent atoms, fractional coordinates:
Rb 0.000 0.000 0.000 [1 per cell]
Rb 0.305 0.081 0.517 [1 per cell]
Ga 0.336 0.563 0.108 [1 per cell]
Ga 0.693 0.442 0.942 [1 per cell]
Pb 0.145 0.530 0.754 [1 per cell]
Pb 0.888 0.484 0.294 [1 per cell]

energy of formation = -0.0404 eV/atom
density of states at the Fermi level = 0.166 states/eV/cell
magnetization = 0.0 μB per cell